# 1
Tl3Ir | PBE-GGA | optimized geometry Values from VASP.

Values from the calculation:
- Energy: -14.5 eV per formula unit
- Energy relative to the lowest polymorph listed for this composition: 0.928 eV/f.u.
- V: 24.75 Å³ per atom
- D(E_F): 0.438 states/eV/atom
- Space group: R-3m, No. 166
- Energy of formation from the pure elements: 1.5 eV/f.u.
- M_tot: 0.00 μB/f.u.

```
&SYSTEM
  ibrav = 0, nat = 4, ntyp = 2
/
ATOMIC_SPECIES
Ir 192.22 Ir.upf
Tl 204.38 Tl.upf
CELL_PARAMETERS angstrom
10.614 -0.017 -0.010
10.104 3.252 -0.010
10.104 1.578 2.844
ATOMIC_POSITIONS crystal
Ir 0.000 0.000 0.000
Tl 0.500 0.500 0.500
Tl 0.735 0.735 0.735
Tl 0.265 0.265 0.265
```

---

# 2
TlIr2 | PBE-GGA | optimized geometry Values from VASP.

Values from the calculation:
- Energy: -18.8 eV per formula unit
- Energy relative to the lowest polymorph listed for this composition: 0.031 eV/f.u.
- V: 18.08 Å³ per atom
- D(E_F): 0.849 states/eV/atom
- Space group: P6_3/mmc, No. 194
- Energy of formation from the pure elements: 1.3 eV/f.u.
- M_tot: 0.00 μB/f.u.

```
&SYSTEM
  ibrav = 0, nat = 12, ntyp = 2
/
ATOMIC_SPECIES
Ir 192.22 Ir.upf
Tl 204.38 Tl.upf
CELL_PARAMETERS angstrom
5.425 0.000 0.000
-2.712 4.698 0.000
0.000 0.000 8.512
ATOMIC_POSITIONS crystal
Ir 0.660 0.830 0.750
Ir 0.340 0.170 0.250
Ir 0.000 0.000 0.000
Ir 0.830 0.170 0.250
Ir 0.170 0.340 0.750
Ir 0.000 0.000 0.500
Ir 0.830 0.660 0.250
Ir 0.170 0.830 0.750
Tl 0.667 0.333 0.563
Tl 0.667 0.333 0.937
Tl 0.333 0.667 0.437
Tl 0.333 0.667 0.063
```

---

# 3
TlIr3 | PBE-GGA | optimized geometry Values from VASP.

Values from the calculation:
- Energy: -27.3 eV per formula unit
- V: 16.47 Å³ per atom
- D(E_F): 0.730 states/eV/atom
- Space group: P4/mmm, No. 123
- Energy of formation from the pure elements: 1.6 eV/f.u.
- M_tot: 0.00 μB/f.u.

```
&SYSTEM
  ibrav = 0, nat = 4, ntyp = 2
/
ATOMIC_SPECIES
Ir 192.22 Ir.upf
Tl 204.38 Tl.upf
CELL_PARAMETERS angstrom
2.865 0.000 0.000
0.000 2.865 0.000
0.000 0.000 8.025
ATOMIC_POSITIONS crystal
Ir 0.500 0.500 0.250
Ir 0.000 0.000 0.475
Ir 0.000 0.000 0.025
Tl 0.500 0.500 0.750
```

---

# 4
TlIr3 | PBE-GGA | optimized geometry Values from VASP.

Values from the calculation:
- Energy: -26.4 eV per formula unit
- V: 18.58 Å³ per atom
- D(E_F): 0.903 states/eV/atom
- Space group: Cmcm, No. 63
- Energy of formation from the pure elements: 2.5 eV/f.u.
- M_tot: 0.00 μB/f.u.

```
&SYSTEM
  ibrav = 0, nat = 8, ntyp = 2
/
ATOMIC_SPECIES
Ir 192.22 Ir.upf
Tl 204.38 Tl.upf
CELL_PARAMETERS angstrom
3.837 -4.358 0.000
3.837 4.358 0.000
0.000 0.000 4.446
ATOMIC_POSITIONS crystal
Ir 0.969 0.364 0.250
Ir 0.636 0.031 0.250
Ir 0.929 0.071 0.750
Ir 0.071 0.929 0.250
Ir 0.031 0.636 0.750
Ir 0.364 0.969 0.750
Tl 0.604 0.396 0.750
Tl 0.396 0.604 0.250
```

---

# 5
Tl4Ir5 | PBE-GGA | optimized geometry Values from VASP.

Values from the calculation:
- Energy: -47.0 eV per formula unit
- Energy relative to the lowest polymorph listed for this composition: 1.254 eV/f.u.
- V: 18.31 Å³ per atom
- D(E_F): 1.186 states/eV/atom
- Space group: P6_3/mcm, No. 193
- Energy of formation from the pure elements: 6.7 eV/f.u.
- M_tot: 0.00 μB/f.u.

```
&SYSTEM
  ibrav = 0, nat = 18, ntyp = 2
/
ATOMIC_SPECIES
Ir 192.22 Ir.upf
Tl 204.38 Tl.upf
CELL_PARAMETERS angstrom
-0.302 -7.969 1.412
6.507 3.235 -3.575
2.444 0.828 5.198
ATOMIC_POSITIONS crystal
Ir 0.333 0.667 0.000
Ir 0.693 0.000 0.250
Ir 0.307 0.000 0.750
Ir 0.693 0.693 0.750
Ir 0.000 0.307 0.750
Ir 0.667 0.333 0.500
Ir 0.307 0.307 0.250
Ir 0.000 0.693 0.250
Ir 0.333 0.667 0.500
Ir 0.667 0.333 0.000
Tl 0.636 0.636 0.250
Tl 0.000 0.000 0.500
Tl 0.364 0.364 0.750
Tl 0.636 0.000 0.750
Tl 0.000 0.636 0.750
Tl 0.364 0.000 0.250
Tl 0.000 0.000 0.000
Tl 0.000 0.364 0.250
```

---

# 6
Tl3Ir | PBE-GGA | optimized geometry Values from VASP.

Values from the calculation:
- Energy: -13.5 eV per formula unit
- Energy relative to the lowest polymorph listed for this composition: 1.901 eV/f.u.
- V: 23.82 Å³ per atom
- D(E_F): 0.828 states/eV/atom
- Space group: R-3m, No. 166
- Energy of formation from the pure elements: 2.4 eV/f.u.
- M_tot: 0.00 μB/f.u.

```
&SYSTEM
  ibrav = 0, nat = 4, ntyp = 2
/
ATOMIC_SPECIES
Tl 204.38 Tl.upf
Ir 192.22 Ir.upf
CELL_PARAMETERS angstrom
-2.632 -3.143 3.961
5.676 0.298 0.433
-2.634 4.829 -1.494
ATOMIC_POSITIONS crystal
Tl 0.500 0.500 0.000
Tl 0.000 0.500 0.500
Tl 0.500 0.000 0.500
Ir 0.000 0.000 0.000
```

---

> Number 2 is which compound?

TlIr2

---

> Which value of V does entry 6 give?

23.82 Å³ per atom

---

> What is the energy in the fourth record?

-26.4 eV per formula unit